The following is a DFT calculation (GGA-PBE) of Rb3BeH6 after structural relaxation.

a = 6.126 Å, b = 6.126 Å, c = 8.531 Å
α = 90.00°, β = 89.98°, γ = 90.00°
Each line ends with the local moment (μB).
Fractional coordinates of all 20 atoms:
Rb  0.500  0.000  0.750  0.00
Rb  0.500  0.500  0.000  0.03
Rb  0.500  0.000  0.250  0.00
Rb  0.000  0.500  0.250  0.00
Rb  0.000  0.000  0.500  0.03
Rb  0.000  0.500  0.750  0.00
Be  0.500  0.500  0.500  -0.03
Be  0.000  0.000  0.000  -0.03
H  0.809  0.188  0.999  0.07
H  0.688  0.309  0.501  0.07
H  0.502  0.501  0.313  0.08
H  0.498  0.499  0.687  0.08
H  0.312  0.691  0.499  0.07
H  0.191  0.812  0.001  0.07
H  0.309  0.312  0.499  0.07
H  0.188  0.191  0.001  0.07
H  0.002  0.999  0.813  0.08
H  0.998  0.001  0.187  0.08
H  0.812  0.809  0.999  0.07
H  0.691  0.688  0.501  0.07

Properties
E ... -52.1 eV per cell
N(E_F) ... 4.832 states/eV/cell
SG ... P2_1/c (14)
V ... 320.1 Å³/cell